Material: Ce2NpSb3Rh4
Method: DFT, GGA-PBE
State: relaxed

Results
Spin magnetization, μB/cell: 6.25
Mass density, g cm⁻³: 9.77
SG: P-4m2, No. 115
Uncorrected energy, eV/atom: -7.35

abc: 4.452 4.452 11.097
angles: 90.00 90.00 90.00
Atoms (fractional coordinates):
Ce 0.000 0.500 0.238
Ce 0.500 0.000 0.762
Np 0.000 0.000 0.500
Sb 0.000 0.500 0.871
Sb 0.500 0.000 0.129
Sb 0.500 0.500 0.500
Rh 0.000 0.000 0.000
Rh 0.000 0.500 0.640
Rh 0.500 0.000 0.360
Rh 0.500 0.500 0.000


Material: CeNpTcRh
Method: DFT, GGA-PBE
State: relaxed

Results
Spin magnetization, μB/cell: 3.28
Calculated formation energy, meV per atom: -129
Mass density, g cm⁻³: 12.02
SG: F-43m, No. 216
Uncorrected energy, eV/atom: -9.28

abc: 4.833 4.833 4.833
angles: 60.00 60.00 60.00
Atoms (fractional coordinates):
Ce 0.000 0.000 0.000
Np 0.500 0.500 0.500
Tc 0.250 0.250 0.250
Rh 0.750 0.750 0.750


Material: CeNpZnRh
Method: DFT, GGA-PBE
State: relaxed

Results
Spin magnetization, μB/cell: 4.39
Calculated formation energy, meV per atom: -296
Mass density, g cm⁻³: 11.91
SG: F-43m, No. 216
Uncorrected energy, eV/atom: -7.17

abc: 4.755 4.755 4.755
angles: 60.00 60.00 60.00
Atoms (fractional coordinates):
Ce 0.000 0.000 0.000
Np 0.750 0.750 0.750
Zn 0.250 0.250 0.250
Rh 0.500 0.500 0.500


Material: Ce2NpZn2Rh5
Method: DFT, GGA-PBE
State: relaxed

Results
Spin magnetization, μB/cell: 8.22
Calculated formation energy, meV per atom: -531
Mass density, g cm⁻³: 10.64
SG: P4/mbm, No. 127
Uncorrected energy, eV/atom: -6.94

abc: 9.903 9.903 3.701
angles: 90.00 90.00 90.00
Atoms (fractional coordinates):
Ce 0.172 0.328 0.000
Ce 0.328 0.828 0.000
Ce 0.672 0.172 0.000
Ce 0.828 0.672 0.000
Np 0.000 0.000 0.000
Np 0.500 0.500 0.000
Zn 0.124 0.624 0.000
Zn 0.376 0.124 0.000
Zn 0.624 0.876 0.000
Zn 0.876 0.376 0.000
Rh 0.000 0.500 0.500
Rh 0.072 0.796 0.500
Rh 0.204 0.072 0.500
Rh 0.296 0.572 0.500
Rh 0.428 0.296 0.500
Rh 0.500 0.000 0.500
Rh 0.572 0.704 0.500
Rh 0.704 0.428 0.500
Rh 0.796 0.928 0.500
Rh 0.928 0.204 0.500


Material: CeNpRu2
Method: DFT, GGA-PBE
State: relaxed

Results
Spin magnetization, μB/cell: 2.63
Calculated formation energy, meV per atom: -179
Mass density, g cm⁻³: 11.45
SG: R-3m, No. 166
Uncorrected energy, eV/atom: -9.54

abc: 5.600 5.600 5.600
angles: 46.38 46.38 46.38
Atoms (fractional coordinates):
Ce 0.000 0.000 0.000
Np 0.500 0.500 0.500
Ru 0.215 0.215 0.215
Ru 0.785 0.785 0.785


Material: CeNpRu2
Method: DFT, GGA-PBE
State: relaxed

Results
Spin magnetization, μB/cell: 3.37
Calculated formation energy, meV per atom: -143
Mass density, g cm⁻³: 12.14
SG: P4/mmm, No. 123
Uncorrected energy, eV/atom: -9.50

abc: 3.301 3.301 7.272
angles: 90.00 90.00 90.00
Atoms (fractional coordinates):
Ce 0.000 0.000 0.000
Np 0.000 0.000 0.500
Ru 0.500 0.500 0.282
Ru 0.500 0.500 0.718


Material: CeNpRu4
Method: DFT, GGA-PBE
State: relaxed

Results
Spin magnetization, μB/cell: 2.75
Calculated formation energy, meV per atom: -138
Mass density, g cm⁻³: 12.15
SG: F-43m, No. 216
Uncorrected energy, eV/atom: -9.47

abc: 5.326 5.326 5.326
angles: 60.00 60.00 60.00
Atoms (fractional coordinates):
Ce 0.000 0.000 0.000
Np 0.750 0.750 0.750
Ru 0.375 0.375 0.375
Ru 0.375 0.375 0.874
Ru 0.375 0.874 0.375
Ru 0.874 0.375 0.375


Material: Ce5NpRu6
Method: DFT, GGA-PBE
State: relaxed

Results
Spin magnetization, μB/cell: 2.92
Calculated formation energy, meV per atom: -248
Mass density, g cm⁻³: 10.02
SG: C2/m, No. 12
Uncorrected energy, eV/atom: -8.44

abc: 7.650 7.650 5.702
angles: 101.33 101.33 122.78
Atoms (fractional coordinates):
Ce 0.000 0.000 0.000
Ce 0.198 0.802 0.500
Ce 0.361 0.639 0.000
Ce 0.639 0.361 0.000
Ce 0.802 0.198 0.500
Np 0.500 0.500 0.500
Ru 0.058 0.395 0.173
Ru 0.218 0.218 0.592
Ru 0.395 0.058 0.173
Ru 0.605 0.942 0.827
Ru 0.782 0.782 0.408
Ru 0.942 0.605 0.827


Material: CeNpRu
Method: DFT, GGA-PBE
State: relaxed

Results
Spin magnetization, μB/cell: 3.42
Calculated formation energy, meV per atom: -28
Mass density, g cm⁻³: 13.08
Offset from the most stable computed form, eV per atom: 0.0000
SG: I4mm, No. 107
Uncorrected energy, eV/atom: -9.41

abc: 5.628 5.628 5.628
angles: 144.18 144.18 51.55
Atoms (fractional coordinates):
Ce 0.000 0.000 0.000
Np 0.327 0.327 0.000
Ru 0.679 0.679 0.000


Material: CeNpRu
Method: DFT, GGA-PBE
State: relaxed

Results
Spin magnetization, μB/cell: 13.98
Calculated formation energy, meV per atom: -13
Mass density, g cm⁻³: 13.15
Offset from the most stable computed form, eV per atom: 0.0147
SG: Pnma, No. 62
Uncorrected energy, eV/atom: -9.40

abc: 6.215 4.832 8.044
angles: 90.00 90.00 90.00
Atoms (fractional coordinates):
Ce 0.014 0.250 0.205
Ce 0.486 0.750 0.705
Ce 0.514 0.250 0.295
Ce 0.986 0.750 0.795
Np 0.191 0.250 0.895
Np 0.309 0.750 0.395
Np 0.691 0.250 0.605
Np 0.809 0.750 0.105
Ru 0.135 0.250 0.563
Ru 0.365 0.750 0.063
Ru 0.635 0.250 0.937
Ru 0.865 0.750 0.437


Material: CeNpRu
Method: DFT, GGA-PBE
State: relaxed

Results
Spin magnetization, μB/cell: 0.00
Calculated formation energy, meV per atom: 65
Mass density, g cm⁻³: 14.63
Offset from the most stable computed form, eV per atom: 0.0923
SG: P3m1, No. 156
Uncorrected energy, eV/atom: -9.32

abc: 4.740 4.740 2.789
angles: 90.00 90.00 120.00
Atoms (fractional coordinates):
Ce 0.000 0.000 0.000
Np 0.333 0.667 0.008
Ru 0.667 0.333 0.386


Material: Tb2Ce2NpRu4
Method: DFT, GGA-PBE
State: relaxed

Results
Spin magnetization, μB/cell: 2.98
Calculated formation energy, meV per atom: -270
Mass density, g cm⁻³: 10.01
SG: C2/m, No. 12
Uncorrected energy, eV/atom: -8.18

abc: 8.478 8.478 4.332
angles: 93.17 93.17 41.41
Atoms (fractional coordinates):
Tb 0.217 0.217 0.247
Tb 0.783 0.783 0.753
Ce 0.420 0.420 0.765
Ce 0.580 0.580 0.235
Np 0.000 0.000 0.500
Ru 0.127 0.638 0.268
Ru 0.362 0.873 0.732
Ru 0.638 0.127 0.268
Ru 0.873 0.362 0.732


Question: Which value of spin magnetization does entry 3 give?
Answer: 4.39 μB/cell


Question: Which of these has the lowest spin magnetization?
Answer: number 11


Question: Number 8 is which compound?
Answer: Ce5NpRu6